No. 1
Here is a geometry-optimized Ho2Cu3Pd structure from Alexandria. Energies are from GGA-PBE.

Geometry as POSCAR:
```
Ho2Cu3Pd
1.0
3.516 0.000 0.000
0.000 4.312 0.000
0.000 0.000 7.406
Ho Cu Pd
2 3 1
Cartesian
0.000 0.000 0.000
0.000 2.156 3.669
1.758 0.000 5.007
1.758 2.156 1.126
1.758 2.156 6.120
1.758 0.000 2.466
```

As for the density of states at the Fermi level: 0.553 states/eV per atom. Its energy relative to the elements is -2.558 eV per formula unit. As for the space group: No. 25. The total energy is -29.2 eV for the cell shown. Its crystal system is orthorhombic. As for the total magnetic moment: 0.00 μB per formula unit.


No. 2
Here is a geometry-optimized Cu2HgPb2 structure from Alexandria. Energies are from GGA-PBE.

Geometry as POSCAR:
```
Cu2HgPb2
1.0
8.402 0.000 0.000
0.000 8.402 0.000
0.000 0.000 3.308
Cu Hg Pb
4 2 4
Cartesian
0.904 3.297 0.000
3.297 7.498 0.000
5.105 0.904 0.000
7.498 5.105 0.000
0.000 0.000 1.654
4.201 4.201 1.654
1.517 5.718 1.654
2.684 1.517 1.654
5.718 6.885 1.654
6.885 2.684 1.654
```

As for the density of states at the Fermi level: 0.409 states/eV per atom. Its energy relative to the elements is 1.455 eV per formula unit. As for the space group: No. 127. Its energy above the most stable polymorph in this dataset is 0.128 eV per atom. The total energy is -28.9 eV for the cell shown. Its crystal system is tetragonal. As for the total magnetic moment: 0.00 μB per formula unit.


No. 3
Here is a geometry-optimized K12O3F5 structure from Alexandria. Energies are from GGA-PBE.

Geometry as POSCAR:
```
K12O3F5
1.0
-7.965 7.965 7.965
7.965 -7.965 7.965
7.965 7.965 -7.965
K O F
48 12 20
Cartesian
2.493 -0.287 1.030
9.454 5.012 -4.269
10.458 0.287 1.030
9.454 -2.952 4.269
7.678 -1.030 2.493
12.234 -1.489 2.952
1.030 2.493 -0.287
10.917 3.696 -1.489
5.012 4.269 -1.489
6.935 2.493 0.287
-0.287 1.030 2.493
4.269 -1.489 5.012
7.678 6.935 -2.493
4.269 1.489 2.952
5.012 -4.269 9.454
6.935 -2.493 7.678
2.952 4.269 1.489
8.995 5.471 0.287
4.269 9.454 -2.952
7.678 1.030 5.471
2.493 7.678 -1.030
9.454 2.952 3.696
1.489 2.952 4.269
2.493 0.287 6.935
5.471 7.678 1.030
6.476 5.012 3.696
-1.489 5.012 4.269
5.471 0.287 8.995
0.287 6.935 2.493
3.696 -1.489 10.917
-1.030 2.493 7.678
5.012 3.696 6.476
1.030 10.458 0.287
2.952 12.234 -1.489
3.696 6.476 5.012
0.287 1.030 10.458
3.696 9.454 2.952
8.251 6.935 5.471
1.030 5.471 7.678
2.952 3.696 9.454
-2.952 4.269 9.454
6.935 5.471 8.251
-4.269 9.454 5.012
0.287 8.995 5.471
-1.489 10.917 3.696
-2.493 7.678 6.935
-1.489 2.952 12.234
5.471 8.251 6.935
3.982 1.991 0.000
7.965 3.982 -1.991
1.991 0.000 3.982
9.956 0.000 3.982
0.000 3.982 1.991
3.982 -1.991 7.965
3.982 9.956 0.000
7.965 3.982 5.973
-1.991 7.965 3.982
5.973 7.965 3.982
0.000 3.982 9.956
3.982 5.973 7.965
0.000 0.000 0.000
3.982 3.982 -3.982
3.982 -3.982 3.982
7.965 0.000 0.000
11.947 1.991 0.000
7.965 -3.982 5.973
5.973 7.965 -3.982
5.973 0.000 3.982
3.982 5.973 0.000
7.965 3.982 1.991
-3.982 3.982 3.982
0.000 7.965 0.000
0.000 0.000 7.965
3.982 3.982 3.982
0.000 3.982 5.973
3.982 1.991 7.965
1.991 7.965 3.982
1.991 0.000 11.947
0.000 11.947 1.991
-3.982 5.973 7.965
```

As for the density of states at the Fermi level: 0.054 states/eV per atom. As for the space group: No. 230. The total energy is -286.0 eV for the cell shown. The uncorrected formation energy comes out at -164.45 kJ/mol of atoms. Its crystal system is cubic. As for the total magnetic moment: 0.00 μB per formula unit.


No. 4
Here is a geometry-optimized CsVS3 structure from Alexandria. Energies are from GGA-PBE.

Geometry as POSCAR:
```
CsVS3
1.0
3.992 2.305 7.988
-3.992 2.305 7.988
0.000 -4.609 7.988
Cs V S
2 2 6
Cartesian
0.000 0.000 0.000
0.000 0.000 11.983
0.000 0.000 5.991
0.000 0.000 17.974
-2.945 -0.491 9.985
-1.047 -2.796 13.980
1.898 -2.305 9.985
-1.898 2.305 13.980
1.047 2.796 9.985
2.945 0.491 13.980
```

As for the space group: No. 167. Its energy above the most stable polymorph in this dataset is 0.428 eV per atom. The total energy is -50.3 eV for the cell shown. The uncorrected formation energy comes out at -53.69 kJ/mol of atoms. Its crystal system is trigonal. As for the total magnetic moment: 0.00 μB per formula unit.